Material: ZrBeCd2
Method: DFT, PBE-GGA
State: optimized geometry

```
ZrBeCd2
1.0
-1.513 2.226 5.744
1.513 -2.226 5.744
1.513 2.226 -5.744
Zr Be Cd
1 1 2
Direct
0.000 0.000 0.000
0.189 0.689 0.500
0.375 0.375 0.000
0.700 0.200 0.500
```

Properties
Its crystal system is orthorhombic. Its formation energy is 235 meV per atom. The spin magnetization comes out at 0.0000 μB/atom.


Material: ZrBeCd2
Method: DFT, PBE-GGA
State: optimized geometry

```
ZrBeCd2
1.0
2.932 -4.729 0.000
2.932 4.729 0.000
0.000 0.000 2.807
Zr Be Cd
1 1 2
Direct
0.000 0.000 0.000
0.500 0.500 0.000
0.000 0.500 0.500
0.500 0.000 0.500
```

Properties
Its crystal system is orthorhombic. Its formation energy is 299 meV per atom. The spin magnetization comes out at 0.0000 μB/atom.


Material: Zr2BeCd
Method: DFT, PBE-GGA
State: optimized geometry

```
Zr2BeCd
1.0
-2.063 2.063 4.496
2.063 -2.063 4.496
2.063 2.063 -4.496
Zr Be Cd
2 1 1
Direct
0.000 0.000 0.000
0.750 0.250 0.500
0.250 0.750 0.500
0.500 0.500 0.000
```

Properties
Its crystal system is tetragonal. The value obtained for the polymorph energy (0 for the lowest one) is 0.243 eV/atom. Its formation energy is 156 meV per atom. The spin magnetization comes out at 0.0000 μB/atom.


Material: Ce2Be17
Method: DFT, PBE-GGA
State: optimized geometry

```
Ce2Be17
1.0
3.899 2.251 3.802
-3.899 2.251 3.802
0.000 -4.503 3.802
Ce Be
2 17
Direct
0.159 0.159 0.159
0.841 0.841 0.841
0.000 0.500 0.500
0.165 0.165 0.654
0.165 0.654 0.165
0.224 0.500 0.776
0.224 0.776 0.500
0.346 0.835 0.835
0.405 0.405 0.405
0.500 0.000 0.500
0.500 0.224 0.776
0.500 0.500 0.000
0.500 0.776 0.224
0.595 0.595 0.595
0.654 0.165 0.165
0.776 0.224 0.500
0.776 0.500 0.224
0.835 0.346 0.835
0.835 0.835 0.346
```

Properties
Its crystal system is trigonal. Its formation energy is -71 meV per atom. The spin magnetization comes out at 0.0000 μB/atom.


Material: CeBe13
Method: DFT, PBE-GGA
State: optimized geometry

```
CeBe13
1.0
0.000 5.131 5.131
5.131 0.000 5.131
5.131 5.131 0.000
Ce Be
2 26
Direct
0.250 0.250 0.250
0.750 0.750 0.750
0.000 0.000 0.000
0.062 0.290 0.710
0.062 0.710 0.938
0.062 0.938 0.290
0.210 0.438 0.790
0.210 0.562 0.438
0.210 0.790 0.562
0.290 0.062 0.938
0.290 0.710 0.062
0.290 0.938 0.710
0.438 0.210 0.562
0.438 0.562 0.790
0.438 0.790 0.210
0.500 0.500 0.500
0.562 0.210 0.790
0.562 0.438 0.210
0.562 0.790 0.438
0.710 0.062 0.290
0.710 0.290 0.938
0.710 0.938 0.062
0.790 0.210 0.438
0.790 0.438 0.562
0.790 0.562 0.210
0.938 0.062 0.710
0.938 0.290 0.062
0.938 0.710 0.290
```

Properties
Its crystal system is cubic. Its formation energy is -160 meV per atom. The spin magnetization comes out at 0.0313 μB/atom.


Material: CeBe2Cl8
Method: DFT, PBE-GGA
State: optimized geometry

```
CeBe2Cl8
1.0
6.202 -4.224 0.000
6.202 4.224 0.000
-0.764 0.000 6.105
Ce Be Cl
1 2 8
Direct
0.000 0.000 0.000
0.194 0.194 0.658
0.806 0.806 0.342
0.085 0.699 0.238
0.169 0.169 0.313
0.301 0.915 0.762
0.345 0.345 0.753
0.655 0.655 0.247
0.699 0.085 0.238
0.831 0.831 0.687
0.915 0.301 0.762
```

Properties
Its crystal system is monoclinic. The value obtained for the formation energy (no corrections) is -1.57 eV/atom. The spin magnetization comes out at 0.0193 μB/atom.


Record order is preserved below.
Raw total energy: -3.29; -3.23; -5.28; -4.03; -4.04; -4.13 eV per atom